Here is a relaxed HoScGaAu crystal from Alexandria via LeMat-Bulk. Energies are from PBE.

Computed properties:
- magnetization (μB/f.u.) = 0.00
- calculated total energy (eV/atom) = -5.018
- offset from the most stable computed form (meV per atom) = 0.0
- DFT formation energy (eV per formula unit) = -2.86

```
HoScGaAu
1.0
3.448 0.000 0.000
0.000 3.448 0.000
0.000 0.000 7.102
Ho Sc Ga Au
1 1 1 1
Direct
0.000 0.000 0.000 Ho
0.000 0.000 0.497 Sc
0.500 0.500 0.731 Ga
0.500 0.500 0.276 Au
```